# 1
Compound: La2ScBiRh
Source: Alexandria via LeMat-Bulk
Functional: GGA-PBE
Structure: optimized geometry

- ΔE_f: 448.1 meV per atom
- Fermi-level density of states: 9.03 states/eV/f.u.
- Calculated volume: 37.012 Å³/atom
- Total magnetic moment: 1.05 μB/f.u.

Cell and atoms, written as extended XYZ:
```
5
Lattice="-1.983 -2.904 -4.966 1.474 -4.356 1.958 -5.465 -0.688 2.585" Properties=species:S:1:pos:R:3 pbc="T T T"
La -0.992 -1.452 -2.483
Sc -2.987 -3.974 -0.211
Rh 0.737 -2.178 0.979
La -2.733 -0.344 1.293
Bi 0.000 0.000 0.000
```

***

# 2
Compound: Ba2TbBiO5
Source: Alexandria via LeMat-Bulk
Functional: GGA-PBE
Structure: optimized geometry

- Fermi-level density of states: 0.00 states/eV/f.u.
- Formation energy (no corrections): -2399 meV per atom
- Calculated volume: 19.161 Å³/atom
- Total magnetic moment: 0.00 μB/f.u.

Cell and atoms, written as extended XYZ:
```
18
Lattice="3.697 0.000 0.000 -1.849 7.303 0.000 0.000 0.000 12.774" Properties=species:S:1:pos:R:3 pbc="T T T"
Bi 0.000 6.832 5.800
O 0.000 3.845 8.190
O 1.849 0.231 3.617
O 0.000 5.660 0.240
O 1.849 1.643 6.627
O 1.849 3.458 1.803
Ba 1.849 6.022 2.257
Tb 1.849 3.897 6.599
O 1.849 3.045 11.616
O 0.000 4.259 5.229
O 0.000 7.072 10.004
Ba 0.000 2.237 3.488
Ba 1.849 5.066 9.875
Bi 1.849 0.471 12.186
O 0.000 1.065 0.654
Tb 0.000 3.406 0.212
O 1.849 6.238 7.041
Ba 0.000 1.281 8.644
```

***

# 3
Compound: Ca3AcPr
Source: Alexandria via LeMat-Bulk
Functional: GGA-PBE
Structure: optimized geometry

- ΔE_f: 230.2 meV per atom
- Fermi-level density of states: 6.31 states/eV/f.u.
- Calculated volume: 44.544 Å³/atom
- Energy above the lowest structure with this stoichiometry: 0.1726 eV/atom
- Total magnetic moment: 0.00 μB/f.u.

Cell and atoms, written as extended XYZ:
```
10
Lattice="3.836 -0.741 0.000 -4.029 10.051 0.000 0.000 0.000 12.524" Properties=species:S:1:pos:R:3 pbc="T T T"
Ca 2.443 2.340 6.272
Ac 1.976 -0.136 9.393
Ca -2.636 6.969 6.252
Ca -2.636 6.969 0.010
Ac -2.169 9.446 3.131
Ca -0.755 6.382 9.393
Ca 2.443 2.340 12.513
Pr -0.812 6.130 3.131
Ca 0.562 2.928 3.131
Pr 0.619 3.179 9.393
```

***

# 4
Compound: BiTeIr2S
Source: Alexandria via LeMat-Bulk
Functional: GGA-PBE
Structure: optimized geometry

- Fermi-level density of states: 5.80 states/eV/f.u.
- Formation energy (no corrections): 1538 meV per atom
- Calculated volume: 28.450 Å³/atom
- Total magnetic moment: 1.17 μB/f.u.

Cell and atoms, written as extended XYZ:
```
5
Lattice="-3.333 3.382 -0.806 -4.409 -3.980 1.530 0.321 1.411 4.593" Properties=species:S:1:pos:R:3 pbc="T T T"
Ir 0.160 0.705 2.297
S -3.710 0.406 2.659
Ir -1.666 1.691 -0.403
Te 0.000 0.000 0.000
Bi -2.204 -1.990 0.765
```

***

# 5
Compound: LiTmSc
Source: Alexandria via LeMat-Bulk
Functional: GGA-PBE
Structure: optimized geometry

- ΔE_f: 122.3 meV per atom
- Fermi-level density of states: 4.61 states/eV/f.u.
- Calculated volume: 24.323 Å³/atom
- Energy above the lowest structure with this stoichiometry: 0.0503 eV/atom
- Total magnetic moment: 0.31 μB/f.u.

Cell and atoms, written as extended XYZ:
```
3
Lattice="-2.185 2.348 1.356 0.105 -1.667 3.056 5.722 3.042 -0.520" Properties=species:S:1:pos:R:3 pbc="T T T"
Tm 0.062 0.044 0.022
Li 0.588 1.517 2.792
Sc 2.992 2.162 1.077
```

***

# 6
Compound: Ag4Sb2Rh
Source: Alexandria via LeMat-Bulk
Functional: GGA-PBE
Structure: optimized geometry

- Fermi-level density of states: 4.56 states/eV/f.u.
- Formation energy (no corrections): 595 meV per atom
- Calculated volume: 25.206 Å³/atom
- Total magnetic moment: 0.39 μB/f.u.

Cell and atoms, written as extended XYZ:
```
7
Lattice="5.056 0.000 0.000 0.000 5.056 0.000 2.528 2.528 6.903" Properties=species:S:1:pos:R:3 pbc="T T T"
Sb 5.056 5.056 5.355
Ag 2.528 0.000 0.000
Rh 0.000 0.000 0.000
Ag 0.000 2.528 0.000
Sb 2.528 2.528 1.547
Ag 2.528 2.528 4.259
Ag 5.056 5.056 2.644
```

***

# 7
Compound: ReP5
Source: Alexandria via LeMat-Bulk
Functional: GGA-PBE
Structure: optimized geometry

- ΔE_f: 828.8 meV per atom
- Fermi-level density of states: 4.21 states/eV/f.u.
- Calculated volume: 18.110 Å³/atom
- Energy above the lowest structure with this stoichiometry: 0.6871 eV/atom
- Total magnetic moment: 0.92 μB/f.u.

Cell and atoms, written as extended XYZ:
```
6
Lattice="-0.616 2.807 3.308 -3.270 -2.615 -1.292 1.974 -4.563 4.239" Properties=species:S:1:pos:R:3 pbc="T T T"
P 0.679 -0.878 3.774
P -1.501 1.000 1.775
P -0.648 -3.589 1.474
P -2.385 -0.808 0.241
P -0.956 -2.185 3.128
Re 0.000 0.000 0.000
```

***

# 8
Compound: CdSbMo2
Source: Alexandria via LeMat-Bulk
Functional: GGA-PBE
Structure: optimized geometry

- Fermi-level density of states: 3.84 states/eV/f.u.
- Formation energy (no corrections): 594 meV per atom
- Calculated volume: 18.497 Å³/atom
- Energy above the lowest structure with this stoichiometry: 0.3615 eV/atom
- Total magnetic moment: 0.00 μB/f.u.

Cell and atoms, written as extended XYZ:
```
4
Lattice="3.463 0.000 0.000 0.000 4.710 0.000 0.000 0.000 4.536" Properties=species:S:1:pos:R:3 pbc="T T T"
Sb 1.732 0.000 2.268
Mo 0.000 0.000 0.000
Mo 1.732 2.355 0.000
Cd 0.000 2.355 2.268
```